{
  "formula": "Cs2RbB",
  "functional": "PBE-GGA",
  "state": "optimized geometry",
  "lattice": [[-5.0094, 5.0094, 7.0131], [5.0094, -5.0094, 7.0131], [5.0094, 5.0094, -7.0131]],
  "species": ["Cs", "Cs", "Cs", "Cs", "Rb", "Rb", "B", "B"],
  "frac_coords": [[0.3750, 0.1302, 0.2552], [0.8698, 0.1250, 0.2448], [0.8750, 0.1198, 0.7448], [0.8802, 0.6250, 0.7552], [0.2500, 0.7500, 0.5000], [0.5000, 0.5000, 0.0000], [0.0000, 0.0000, 0.0000], [0.7500, 0.2500, 0.5000]],
  "final_energy_ev_per_atom": -1.28,
  "formation_energy_mev_per_atom": 1060
}

---

{
  "formula": "Li2LaPmPb2",
  "functional": "PBE-GGA",
  "state": "optimized geometry",
  "lattice": [[4.8515, 0.0000, 0.0000], [-2.4258, 4.2015, 0.0000], [0.0000, 0.0000, 7.8415]],
  "species": ["Li", "Li", "La", "Pm", "Pb", "Pb"],
  "frac_coords": [[0.3333, 0.6667, 0.2791], [0.6667, 0.3333, 0.7209], [0.0000, 0.0000, 0.0000], [0.0000, 0.0000, 0.5000], [0.3333, 0.6667, 0.7427], [0.6667, 0.3333, 0.2573]],
  "final_energy_ev_per_atom": -4.04,
  "formation_energy_mev_per_atom": -548
}

---

{
  "formula": "CoTeRu2",
  "functional": "PBE-GGA",
  "state": "optimized geometry",
  "lattice": [[0.0000, 3.1302, 3.1302], [3.1302, 0.0000, 3.1302], [3.1302, 3.1302, 0.0000]],
  "species": ["Co", "Te", "Ru", "Ru"],
  "frac_coords": [[0.0000, 0.0000, 0.0000], [0.7500, 0.7500, 0.7500], [0.2500, 0.2500, 0.2500], [0.5000, 0.5000, 0.5000]],
  "final_energy_ev_per_atom": -6.71,
  "raw_formation_energy_ev_per_atom": 0.4940
}

---

{
  "formula": "Pb4W",
  "functional": "PBE-GGA",
  "state": "optimized geometry",
  "lattice": [[-3.3556, 3.3556, 3.3556], [3.3556, -3.3556, 3.3556], [3.3556, 3.3556, -3.3556]],
  "species": ["Pb", "Pb", "Pb", "Pb", "W"],
  "frac_coords": [[0.0000, 0.0000, 0.5000], [0.0000, 0.5000, 0.0000], [0.5000, 0.0000, 0.0000], [0.5000, 0.5000, 0.5000], [0.0000, 0.0000, 0.0000]],
  "final_energy_ev_per_atom": -4.86,
  "relative_energy_mev_per_atom": 0,
  "formation_energy_mev_per_atom": 696
}

---

{
  "formula": "AcPmPr",
  "functional": "PBE-GGA",
  "state": "optimized geometry",
  "lattice": [[10.0826, 0.0000, 0.0000], [0.0000, 3.6525, 6.3788], [0.0000, -3.6525, 6.3788]],
  "species": ["Ac", "Ac", "Ac", "Ac", "Pm", "Pm", "Pm", "Pm", "Pr", "Pr", "Pr", "Pr"],
  "frac_coords": [[0.0000, 0.0000, 0.0000], [0.0000, 0.0014, 0.5255], [0.0000, 0.5255, 0.0014], [0.5000, 0.3668, 0.3668], [0.1773, 0.5137, 0.5137], [0.3271, 0.8560, 0.8560], [0.6729, 0.8560, 0.8560], [0.8227, 0.5137, 0.5137], [0.2702, 0.1698, 0.1698], [0.5000, 0.3846, 0.8137], [0.5000, 0.8137, 0.3846], [0.7298, 0.1698, 0.1698]],
  "final_energy_ev_per_atom": -4.30,
  "relative_energy_mev_per_atom": 213,
  "formation_energy_mev_per_atom": 243
}

---

{
  "formula": "Ir3PtRh6",
  "functional": "PBE-GGA",
  "state": "optimized geometry",
  "lattice": [[3.6917, -7.6960, 0.0000], [3.6917, 7.6960, 0.0000], [0.0000, 0.0000, 5.3119]],
  "species": ["Ir", "Ir", "Ir", "Ir", "Ir", "Ir", "Pt", "Pt", "Rh", "Rh", "Rh", "Rh", "Rh", "Rh", "Rh", "Rh", "Rh", "Rh", "Rh", "Rh"],
  "frac_coords": [[0.0888, 0.9112, 0.5000], [0.1969, 0.4359, 0.8188], [0.4359, 0.1969, 0.3188], [0.5641, 0.8031, 0.8188], [0.8031, 0.5641, 0.3188], [0.9112, 0.0888, 0.0000], [0.3352, 0.6648, 0.4026], [0.6648, 0.3352, 0.9026], [0.0247, 0.5915, 0.6954], [0.1429, 0.2386, 0.4009], [0.1877, 0.8123, 0.1162], [0.2386, 0.1429, 0.9009], [0.4085, 0.9753, 0.6954], [0.4836, 0.5164, 0.1313], [0.5164, 0.4836, 0.6313], [0.5915, 0.0247, 0.1954], [0.7614, 0.8571, 0.4009], [0.8123, 0.1877, 0.6162], [0.8571, 0.7614, 0.9009], [0.9753, 0.4085, 0.1954]],
  "final_energy_ev_per_atom": -7.45,
  "relative_energy_mev_per_atom": 0,
  "formation_energy_mev_per_atom": 221
}

---

{
  "formula": "NbP2Rh",
  "functional": "PBE-GGA",
  "state": "optimized geometry",
  "lattice": [[0.0000, 3.0454, 3.0454], [3.0454, 0.0000, 3.0454], [3.0454, 3.0454, 0.0000]],
  "species": ["Nb", "P", "P", "Rh"],
  "frac_coords": [[0.0000, 0.0000, 0.0000], [0.2500, 0.2500, 0.2500], [0.7500, 0.7500, 0.7500], [0.5000, 0.5000, 0.5000]],
  "final_energy_ev_per_atom": -7.53,
  "formation_energy_mev_per_atom": -469
}

---

{
  "formula": "LiP2ClO",
  "functional": "PBE-GGA",
  "state": "optimized geometry",
  "lattice": [[4.4028, 0.0000, 0.0000], [0.0000, 4.4028, 0.0000], [0.0000, 0.0000, 4.1430]],
  "species": ["Li", "P", "P", "Cl", "O"],
  "frac_coords": [[0.0000, 0.0000, 0.0000], [0.0000, 0.5000, 0.0000], [0.5000, 0.0000, 0.0000], [0.0000, 0.0000, 0.5000], [0.5000, 0.5000, 0.5000]],
  "final_energy_ev_per_atom": -2.92,
  "raw_formation_energy_ev_per_atom": 0.9913,
  "relative_energy_mev_per_atom": 1156
}